Below is an optimized crystal structure of KAlCuSe3, with properties calculated at the GGA-PBE level.

Cell and atoms, written as extended XYZ:
```
24
Lattice="-14.583 -2.666 3.023 -0.143 -2.423 -2.828 2.689 -7.540 6.323" Properties=species:S:1:pos:R:3 pbc="T T T"
Se -12.263 -7.432 3.306
Se -5.065 -4.515 2.897
Se -6.971 -8.114 3.621
Se 0.226 -5.197 3.213
Se -3.518 -7.385 5.278
Se -1.147 -4.135 -0.083
Se -10.889 -8.494 6.602
Se -13.014 -4.005 2.863
Se -8.519 -5.244 1.241
Se -6.138 -9.130 6.905
Se -5.899 -3.499 -0.387
Se 0.977 -8.624 3.655
Al -12.659 -9.323 4.946
Al -7.213 -3.114 1.805
Al -4.823 -9.515 4.713
Al 0.622 -3.306 1.572
K -8.699 -11.060 6.232
K -2.511 -6.632 2.126
K -9.525 -5.997 4.393
K -3.338 -1.569 0.286
Cu -6.480 -6.306 2.047
Cu -5.557 -6.323 4.471
Cu -11.967 -10.127 8.055
Cu -0.070 -2.502 -1.536
```

Output
E above lowest polymorph = 0.0 meV per atom
Total DFT energy (no corrections) = -23.306 eV per formula unit
Space group = Pnma

Below is an optimized crystal structure of KAlCuSe3, with properties calculated at the GGA-PBE level.

Cell and atoms, written as extended XYZ:
```
12
Lattice="-1.785 -4.200 -7.112 2.490 -2.607 0.915 -5.836 -2.800 7.904" Properties=species:S:1:pos:R:3 pbc="T T T"
Se 0.234 -5.196 -4.104
Se -1.560 -1.831 2.810
Se -2.484 -4.203 -1.438
Se -5.365 -4.411 5.811
Se -2.647 -5.404 3.145
Se -3.570 -7.776 -1.103
K -5.220 -5.930 1.087
K 0.089 -3.677 0.620
Cu -0.954 -3.328 -3.108
Cu -4.177 -6.279 4.815
Al -1.772 -6.484 -2.315
Al -3.359 -3.123 4.021
```

Output
E above lowest polymorph = 2.9 meV per atom
Total DFT energy (no corrections) = -23.289 eV per formula unit
Space group = P2_1/m

Below is an optimized crystal structure of LaAl6Cu, with properties calculated at the GGA-PBE level.

Cell and atoms, written as extended XYZ:
```
8
Lattice="-5.713 2.251 1.598 1.419 -6.092 1.061 1.548 1.064 4.036" Properties=species:S:1:pos:R:3 pbc="T T T"
Al 0.330 -1.002 2.593
Al -1.365 -4.718 1.767
Al 1.092 -4.272 3.162
Al -1.974 -3.064 4.020
Al -1.968 -2.129 1.316
Al 0.459 -3.086 0.637
La -2.561 0.002 3.437
Cu 0.000 0.000 0.000
```

Output
Total DFT energy (no corrections) = -31.316 eV per formula unit
Space group = P-6m2

Below is an optimized crystal structure of LaAl8Cu4, with properties calculated at the GGA-PBE level.

Cell and atoms, written as extended XYZ:
```
13
Lattice="6.344 1.768 1.680 -4.938 -3.643 2.922 1.482 -4.258 -5.086" Properties=species:S:1:pos:R:3 pbc="T T T"
Cu 1.444 -3.067 -0.242
Cu 0.741 -2.129 -2.543
Cu -2.469 -1.822 1.461
Cu 3.172 0.884 0.840
Al 0.446 -4.642 -2.028
Al -1.209 -2.764 -0.757
Al 5.088 -1.619 -2.214
Al -0.065 -2.694 1.820
Al 2.738 -0.871 -1.192
Al 2.443 -1.491 1.544
Al -2.247 -5.137 -1.407
Al 2.953 -3.440 -2.304
La 0.000 0.000 0.000
```

Output
Total DFT energy (no corrections) = -53.771 eV per formula unit
Space group = I4/mmm

Below is an optimized crystal structure of La2LuAl7Cu2, with properties calculated at the GGA-PBE level.

Cell and atoms, written as extended XYZ:
```
12
Lattice="0.316 -9.206 0.334 1.232 -7.300 5.491 -3.966 -7.551 3.495" Properties=species:S:1:pos:R:3 pbc="T T T"
Al -2.023 -10.201 2.601
Al -0.395 -13.855 6.719
Al 0.615 -10.074 3.614
Al -3.033 -13.983 5.706
Al -0.860 -14.823 4.102
Al -1.558 -9.234 5.218
Al -1.209 -12.028 4.660
Lu 0.000 0.000 0.000
Cu -0.811 -8.068 3.126
Cu -1.607 -15.988 6.194
La -0.344 -3.419 1.325
La -2.074 -20.637 7.995
```

Output
Total DFT energy (no corrections) = -53.206 eV per formula unit
Space group = R-3m

Below is an optimized crystal structure of LaMg4AlCu2, with properties calculated at the GGA-PBE level.

Cell and atoms, written as extended XYZ:
```
8
Lattice="-3.021 -6.764 -0.222 5.981 -2.793 3.730 3.155 -1.629 6.699" Properties=species:S:1:pos:R:3 pbc="T T T"
Mg 1.657 -3.383 2.903
Mg 3.442 -7.610 6.260
Mg 0.531 -5.902 2.820
Mg 4.787 -4.599 6.359
Al 1.490 -0.721 1.700
Cu 6.822 -3.302 7.787
Cu 3.051 -1.476 3.482
La 8.722 -4.221 9.956
```

Output
Total DFT energy (no corrections) = -20.398 eV per formula unit
Space group = Amm2